Density functional theory data (PBE-GGA) for SrScAlCd after structural relaxation.

Output
E (eV per atom): -3.32
Theoretical density (g/cm³): 4.36
Fermi-level density of states (states/eV/cell): 2.55
Energy relative to the elements (eV per atom): -0.1521

Lattice parameters (Å, degrees): 5.2708 5.2708 5.2708 60.00 60.00 60.00
Last column: nearest neighbours and their distance in Å.
Element x y z (fractional)
Sc (0.0000, 0.0000, 0.0000)  4 Cd 3.23, 4 Al 3.23
Cd (0.7500, 0.7500, 0.7500)  4 Sr 3.23, 4 Sc 3.23
Sr (0.5000, 0.5000, 0.5000)  4 Al 3.23, 4 Cd 3.23
Al (0.2500, 0.2500, 0.2500)  4 Sc 3.23, 4 Sr 3.23

Density functional theory data (PBE-GGA) for Sm3MgCo after structural relaxation.

Output
E (eV per atom): -4.63
Offset from the most stable computed form (meV/atom): 0
Theoretical density (g/cm³): 6.48
Fermi-level density of states (states/eV/cell): 10.32
Energy relative to the elements (eV per atom): -0.0545

Lattice parameters (Å, degrees): 7.0971 8.2883 6.2059 84.96 72.37 52.55
Last column: nearest neighbours and their distance in Å.
Element x y z (fractional)
Sm (0.4708, 0.5135, 0.5030)  1 Co 2.62
Sm (0.3837, 0.9701, 0.4800)  2 Co 2.66-2.82
Sm (0.5464, 0.2222, 0.0303)  2 Co 2.76-2.95
Sm (0.9559, 0.6827, 0.9763)  1 Co 2.62
Sm (0.8799, 0.9739, 0.4488)  2 Co 2.77-2.95
Sm (0.0421, 0.2266, 0.9991)  2 Co 2.66-2.82
Mg (0.9796, 0.4897, 0.4960)  1 Co 2.67
Mg (0.4474, 0.7073, 0.9828)  1 Co 2.67
Co (0.3417, 0.2841, 0.6885)  4 Sm 2.62-2.82, 1 Mg 2.67
Co (0.0845, 0.9121, 0.7907)  4 Sm 2.62-2.82, 1 Mg 2.67